Here is a relaxed TbMn2WO8 crystal from Alexandria. Energies are from GGA+U.

Structure (CIF):
```
data_TbMn2WO8
_space_group_name_H-M_alt 'P 1'
_space_group_IT_number 1
_cell_length_a 5.8134
_cell_length_b 5.8134
_cell_length_c 5.8134
_cell_angle_alpha 108.44
_cell_angle_beta 108.44
_cell_angle_gamma 111.55
loop_
_space_group_symop_operation_xyz
'x,y,z'
loop_
_atom_site_label
_atom_site_type_symbol
_atom_site_fract_x
_atom_site_fract_y
_atom_site_fract_z
O1 O 0.7065 0.0377 0.6688
O2 O 0.3688 0.0377 0.3312
O3 O 0.3049 0.5165 0.2116
O4 O 0.4835 0.6951 0.7884
O5 O 0.9067 0.6951 0.2116
O6 O 0.3049 0.0933 0.7884
O7 O 0.9623 0.6312 0.6688
O8 O 0.9623 0.2935 0.3312
W1 W 0.2500 0.7500 0.5000
Mn1 Mn 0.5000 0.5000 0.0000
Mn2 Mn 0.7500 0.2500 0.5000
Tb1 Tb 0.0000 0.0000 0.0000
```

- density (Mg/m³) = 6.38
- total energy (eV per cell) = -88.7
- D(E_F) (states/eV/cell) = 4.59